1.
{
  "formula": "BeIn2Cl",
  "functional": "SCAN",
  "state": "single point on PBEsol structure",
  "lattice": [[-1.322, -2.744, -1.132], [2.173, -0.051, -2.415], [4.665, -4.014, 4.282]],
  "species": ["Be", "Cl", "In", "In"],
  "frac_coords": [[0.500, 0.500, 0.000], [0.500, 0.500, 0.500], [0.000, 0.000, 0.788], [0.000, 0.000, 0.212]],
  "formation_energy_uncorrected_mev_per_atom": 71,
  "magmom_total_mub_per_cell": 0.00
}

=====

2.
{
  "formula": "Mn2MoCl",
  "functional": "SCAN",
  "state": "single point on PBEsol structure",
  "lattice": [[2.807, 0.603, 0.000], [-0.604, 2.807, 0.000], [0.000, 0.000, 6.830]],
  "species": ["Mo", "Mn", "Mn", "Cl"],
  "frac_coords": [[0.000, 0.000, 0.538], [0.000, 0.000, 0.971], [0.500, 0.500, 0.739], [0.500, 0.500, 0.251]],
  "formation_energy_uncorrected_mev_per_atom": 142,
  "magmom_total_mub_per_cell": 3.64
}

=====

3.
{
  "formula": "Cs3FePd",
  "functional": "SCAN",
  "state": "single point on PBEsol structure",
  "lattice": [[6.382, 0.000, 0.000], [0.000, 6.382, 0.000], [0.000, 0.000, 6.382]],
  "species": ["Cs", "Cs", "Cs", "Fe", "Pd"],
  "frac_coords": [[0.000, 0.500, 0.000], [0.000, 0.000, 0.500], [0.500, 0.000, 0.000], [0.500, 0.500, 0.500], [0.000, 0.000, 0.000]],
  "magmom_total_mub_per_cell": 2.96,
  "ef_ev_per_atom": 0.64
}

=====

4.
{
  "formula": "Er3Sn7",
  "functional": "SCAN",
  "state": "single point on PBEsol structure",
  "lattice": [[-2.730, -2.321, 2.490], [1.917, -3.664, -1.313], [9.249, -1.024, 9.189]],
  "species": ["Er", "Er", "Er", "Sn", "Sn", "Sn", "Sn", "Sn", "Sn", "Sn"],
  "frac_coords": [[0.500, 0.000, 0.000], [0.000, 0.310, 0.379], [0.000, 0.690, 0.621], [0.000, 0.500, 0.000], [0.500, 0.403, 0.195], [0.500, 0.597, 0.805], [0.000, 0.097, 0.806], [0.000, 0.903, 0.194], [0.500, 0.211, 0.578], [0.500, 0.789, 0.422]],
  "magmom_total_mub_per_cell": 0.00,
  "ef_ev_per_atom": -0.56
}

=====

5.
{
  "formula": "ScNi2NF",
  "functional": "SCAN",
  "state": "single point on PBEsol structure",
  "lattice": [[3.563, 0.000, 0.000], [0.000, 3.563, 0.000], [0.000, 0.000, 4.566]],
  "species": ["Sc", "Ni", "Ni", "N", "F"],
  "frac_coords": [[0.000, 0.000, 0.500], [0.000, 0.500, 0.000], [0.500, 0.000, 0.000], [0.000, 0.000, 0.000], [0.500, 0.500, 0.500]],
  "formation_energy_uncorrected_mev_per_atom": -1077,
  "magmom_total_mub_per_cell": 1.07
}

=====

6.
{
  "formula": "Si2NiO",
  "functional": "SCAN",
  "state": "single point on PBEsol structure",
  "lattice": [[-0.671, 4.418, -2.065], [-4.377, -3.523, -0.247], [-3.678, 0.910, 3.142]],
  "species": ["Ni", "Ni", "Si", "Si", "Si", "Si", "O", "O"],
  "frac_coords": [[0.750, 0.500, 0.750], [0.000, 0.000, 0.000], [0.595, 0.750, 0.375], [0.155, 0.750, 0.875], [0.875, 0.250, 0.595], [0.375, 0.250, 0.155], [0.250, 0.500, 0.250], [0.500, 0.000, 0.500]],
  "formation_energy_uncorrected_mev_per_atom": -374,
  "magmom_total_mub_per_cell": 0.00
}

=====

7.
{
  "formula": "NbAlIr2Cl",
  "functional": "SCAN",
  "state": "single point on PBEsol structure",
  "lattice": [[-0.544, -2.166, 3.839], [3.933, -2.072, -0.612], [2.090, 3.324, 2.172]],
  "species": ["Nb", "Ir", "Ir", "Al", "Cl"],
  "frac_coords": [[0.500, 0.500, 0.500], [0.000, 0.000, 0.500], [0.000, 0.500, 0.000], [0.000, 0.000, 0.000], [0.500, 0.000, 0.000]],
  "formation_energy_uncorrected_mev_per_atom": 880,
  "magmom_total_mub_per_cell": 1.06
}

=====

8.
{
  "formula": "TaSb3Os",
  "functional": "SCAN",
  "state": "single point on PBEsol structure",
  "lattice": [[-1.770, -4.227, 2.125], [4.619, -2.037, -0.203], [1.027, 1.871, 4.579]],
  "species": ["Sb", "Sb", "Sb", "Os", "Ta"],
  "frac_coords": [[0.000, 0.500, 0.000], [0.000, 0.000, 0.500], [0.500, 0.000, 0.000], [0.000, 0.000, 0.000], [0.500, 0.500, 0.500]],
  "formation_energy_uncorrected_mev_per_atom": 1359,
  "magmom_total_mub_per_cell": 3.51
}